Here is a relaxed structure of Cs2RbCd3 from Alexandria via LeMat-Bulk. Energies are from PBE.

Unit cell a=11.785 b=11.785 c=5.534 alpha=90.00 beta=90.00 gamma=57.59
Positions (direct):
Cs (0.003, 0.339, 0.250)
Cs (0.339, 0.003, 0.750)
Cs (0.661, 0.997, 0.250)
Cs (0.997, 0.661, 0.750)
Rb (0.326, 0.674, 0.250)
Rb (0.674, 0.326, 0.750)
Cd (0.030, 0.970, 0.750)
Cd (0.340, 0.340, 0.000)
Cd (0.340, 0.340, 0.500)
Cd (0.660, 0.660, 0.000)
Cd (0.660, 0.660, 0.500)
Cd (0.970, 0.030, 0.250)

**Energy**: -0.91 eV per atom
**E_form**: -0.1 kcal/mol of atoms

Here is a relaxed structure of AsHBr from Alexandria via LeMat-Bulk. Energies are from PBE.

Unit cell a=3.312 b=5.190 c=9.560 alpha=83.56 beta=85.39 gamma=79.12
Positions (direct):
As (0.041, 0.302, 0.084)
As (0.959, 0.698, 0.916)
H (0.481, 0.940, 0.524)
H (0.519, 0.060, 0.476)
Br (0.080, 0.454, 0.720)
Br (0.920, 0.546, 0.280)

**Energy**: -3.27 eV per atom

Here is a relaxed structure of MgBrCl from Alexandria via LeMat-Bulk. Energies are from PBE.

Unit cell a=3.829 b=6.774 c=7.969 alpha=88.78 beta=84.67 gamma=75.96
Positions (direct):
Mg (0.000, 0.000, 0.000)
Mg (0.319, 0.484, 0.680)
Br (0.434, 0.064, 0.208)
Br (0.489, 0.102, 0.755)
Cl (0.164, 0.640, 0.946)
Cl (0.822, 0.550, 0.518)

**Energy**: -3.29 eV per atom
**ΔE_f (raw)**: -4.75 eV per formula unit

Here is a relaxed structure of BaZn6Ga2 from Alexandria via LeMat-Bulk. Energies are from PBE.

Unit cell a=4.285 b=4.285 c=9.427 alpha=90.00 beta=90.00 gamma=90.00
Positions (direct):
Ba (0.000, 0.000, 0.000)
Zn (0.000, 0.000, 0.500)
Zn (0.000, 0.500, 0.317)
Zn (0.000, 0.500, 0.683)
Zn (0.500, 0.000, 0.317)
Zn (0.500, 0.000, 0.683)
Zn (0.500, 0.500, 0.500)
Ga (0.500, 0.500, 0.158)
Ga (0.500, 0.500, 0.842)

**Energy**: -1.88 eV per atom
**E_form**: -3.4 kcal/mol of atoms

Here is a relaxed structure of AsPbSCl2 from Alexandria via LeMat-Bulk. Energies are from PBE.

Unit cell a=5.392 b=5.392 c=5.537 alpha=90.00 beta=90.00 gamma=90.00
Positions (direct):
As (0.000, 0.000, 0.000)
Pb (0.500, 0.500, 0.500)
S (0.500, 0.500, 0.000)
Cl (0.000, 0.500, 0.500)
Cl (0.500, 0.000, 0.500)

**Energy**: -2.98 eV per atom
**ΔE_f (raw)**: 1.27 eV per formula unit

Here is a relaxed structure of ZrSc3Ir from Alexandria via LeMat-Bulk. Energies are from PBE.

Unit cell a=5.012 b=5.012 c=5.012 alpha=90.00 beta=90.00 gamma=90.00
Positions (direct):
Zr (0.000, 0.000, 0.000)
Sc (0.000, 0.500, 0.500)
Sc (0.500, 0.000, 0.500)
Sc (0.500, 0.500, 0.000)
Ir (0.500, 0.500, 0.500)

**Energy**: -7.34 eV per atom
**E_form**: -1.3 kcal/mol of atoms

Here is a relaxed structure of ZrCrTc2 from Alexandria via LeMat-Bulk. Energies are from PBE.

Unit cell a=2.827 b=4.256 c=5.239 alpha=90.00 beta=98.93 gamma=90.00
Positions (direct):
Zr (0.000, 0.000, 0.000)
Cr (0.500, 0.000, 0.500)
Tc (0.264, 0.500, 0.728)
Tc (0.736, 0.500, 0.272)

**Energy**: -9.67 eV per atom
**E_form**: 1.4 kcal/mol of atoms

Here is a relaxed structure of Pu4PSe4 from Alexandria via LeMat-Bulk. Energies are from PBE.

Unit cell a=7.664 b=7.664 c=7.664 alpha=125.97 beta=125.97 gamma=79.93
Positions (direct):
Pu (0.093, 0.655, 0.000)
Pu (0.345, 0.345, 0.439)
Pu (0.655, 0.093, 0.000)
Pu (0.907, 0.907, 0.561)
P (0.000, 0.000, 0.000)
Se (0.000, 0.500, 0.500)
Se (0.295, 0.295, 0.000)
Se (0.500, 0.000, 0.500)
Se (0.705, 0.705, 0.000)

**Energy**: -9.62 eV per atom
**ΔE_f (raw)**: -9.91 eV per formula unit

Here is a relaxed structure of AcErSi from Alexandria via LeMat-Bulk. Energies are from PBE.

Unit cell a=5.087 b=5.087 c=5.087 alpha=60.00 beta=60.00 gamma=60.00
Positions (direct):
Ac (0.000, 0.000, 0.000)
Er (0.500, 0.500, 0.500)
Si (0.750, 0.750, 0.750)

**Energy**: -5.00 eV per atom
**ΔE_f (raw)**: -0.91 eV per formula unit

Here is a relaxed structure of Hf6MoIr from Alexandria via LeMat-Bulk. Energies are from PBE.

Unit cell a=6.031 b=6.031 c=6.182 alpha=103.35 beta=103.35 gamma=119.21
Positions (direct):
Hf (0.037, 0.444, 0.253)
Hf (0.245, 0.245, 0.753)
Hf (0.444, 0.037, 0.253)
Hf (0.556, 0.963, 0.747)
Hf (0.755, 0.755, 0.247)
Hf (0.963, 0.556, 0.747)
Mo (0.500, 0.500, 0.500)
Ir (0.000, 0.000, 0.000)

**Energy**: -9.78 eV per atom
**E_form**: 3.3 kcal/mol of atoms

Here is a relaxed structure of LiAl2H4Pb2O4F6 from Alexandria via LeMat-Bulk. Energies are from PBE.

Unit cell a=5.044 b=6.023 c=7.796 alpha=110.83 beta=99.35 gamma=95.28
Positions (direct):
Li (0.000, 0.000, 0.000)
Al (0.156, 0.697, 0.166)
Al (0.844, 0.303, 0.834)
H (0.157, 0.272, 0.626)
H (0.341, 0.325, 0.993)
H (0.659, 0.675, 0.007)
H (0.843, 0.728, 0.374)
Pb (0.342, 0.727, 0.631)
Pb (0.658, 0.273, 0.369)
O (0.014, 0.372, 0.652)
O (0.168, 0.367, 0.027)
O (0.832, 0.633, 0.973)
O (0.986, 0.628, 0.348)
F (0.102, 0.015, 0.260)
F (0.342, 0.791, 0.010)
F (0.483, 0.768, 0.332)
F (0.517, 0.232, 0.668)
F (0.658, 0.209, 0.990)
F (0.898, 0.985, 0.740)

**Energy**: -5.39 eV per atom

Here is a relaxed structure of AgOs3W from Alexandria via LeMat-Bulk. Energies are from PBE.

Unit cell a=4.627 b=4.627 c=4.627 alpha=90.00 beta=90.00 gamma=90.00
Positions (direct):
Ag (0.000, 0.000, 0.000)
Os (0.000, 0.000, 0.500)
Os (0.000, 0.500, 0.000)
Os (0.500, 0.000, 0.000)
W (0.500, 0.500, 0.500)

**Energy**: -6.62 eV per atom
**E_form**: 75.6 kcal/mol of atoms

Here is a relaxed structure of Ho4InAgHg2 from Alexandria via LeMat-Bulk. Energies are from PBE.

Unit cell a=9.071 b=9.071 c=9.071 alpha=33.47 beta=33.47 gamma=33.47
Positions (direct):
Ho (0.122, 0.122, 0.122)
Ho (0.373, 0.373, 0.373)
Ho (0.627, 0.627, 0.627)
Ho (0.878, 0.878, 0.878)
In (0.500, 0.500, 0.500)
Ag (0.000, 0.000, 0.000)
Hg (0.250, 0.250, 0.250)
Hg (0.750, 0.750, 0.750)

**Energy**: -3.49 eV per atom
**E_form**: -9.9 kcal/mol of atoms